Crystalline Rb2IrSe2 at its relaxed geometry, computed with GGA-PBEsol.

POSCAR file:
```
Rb2IrSe2
1.0
3.7473 0.0000 0.0000
0.0000 3.7473 0.0000
-1.8736 -1.8736 10.3951
Ir Rb Se
1 2 2
Cartesian
0.0000 0.0000 0.0000
0.0000 0.0000 8.2287
1.8736 1.8736 2.1664
0.0000 1.8736 5.1976
1.8736 0.0000 5.1976
```

Magnetic moment: 0.98 μB/cell
Energy relative to the elements, uncorrected: 0.49 eV per atom
Space group: I4/mmm
Electronic total energy: -3.43 eV/atom

***

Crystalline Rb2IrSe at its relaxed geometry, computed with GGA-PBEsol.

POSCAR file:
```
Rb2IrSe
1.0
-3.9356 1.2697 -0.9095
-0.6969 -3.6342 -2.0579
-1.3811 -3.4816 10.9719
Ir Se Rb
2 2 4
Cartesian
0.0000 0.0000 0.0000
-2.1971 -4.1490 3.7151
-2.3162 -1.1823 -1.4837
-3.8165 -1.6971 4.2893
-1.6146 -2.9052 7.8589
-3.9314 -4.0906 6.3734
-4.0519 -1.1217 1.1750
-2.4292 -3.5747 0.6016
```

Magnetic moment: 0.00 μB/cell
Energy relative to the elements, uncorrected: 0.73 eV per atom
Space group: I-42d
Electronic total energy: -3.20 eV/atom

***

Crystalline RbIrSe2 at its relaxed geometry, computed with GGA-PBEsol.

POSCAR file:
```
RbIrSe2
1.0
6.5413 -0.0642 0.0000
-2.2793 6.1317 0.0000
-2.1310 -3.0338 5.3896
Rb Se Ir
2 4 2
Cartesian
2.1310 3.0338 0.0000
3.2707 -0.0321 2.6948
-1.0961 4.1679 0.5979
3.1530 3.4486 3.2927
2.1616 -2.6510 4.7917
0.0435 1.1021 2.0969
-1.1397 3.0658 2.6948
0.0000 0.0000 0.0000
```

Magnetic moment: 0.00 μB/cell
Energy relative to the elements, uncorrected: -0.42 eV per atom
Space group: I-42d
Electronic total energy: -5.06 eV/atom

***

Crystalline Rb2SiIr at its relaxed geometry, computed with GGA-PBEsol.

POSCAR file:
```
Rb2SiIr
1.0
-3.3879 2.8752 -0.7496
-6.5868 -2.6996 5.8706
1.6026 6.9469 5.8574
Si Ir Rb
2 2 4
Cartesian
-1.6940 1.4376 -0.3748
-3.3391 2.8425 5.6766
0.0000 0.0000 0.0000
-5.0330 4.2801 5.3018
-7.4412 2.1740 4.7214
-3.4719 7.1050 5.6948
-3.8889 3.9565 2.2756
-5.3302 3.8849 8.5154
```

Magnetic moment: 0.00 μB/cell
Energy relative to the elements, uncorrected: 0.31 eV per atom
Space group: I-42d
Electronic total energy: -4.10 eV/atom

***

Crystalline RbSi2Ir2 at its relaxed geometry, computed with GGA-PBEsol.

POSCAR file:
```
RbSi2Ir2
1.0
2.7751 0.0000 0.0000
0.0000 7.7229 0.0000
0.0000 0.0000 7.7229
Rb Si Ir
2 4 4
Cartesian
0.0000 3.8614 3.8614
0.0000 0.0000 0.0000
0.0000 2.8169 6.6783
0.0000 1.0445 2.8169
0.0000 6.6783 4.9060
0.0000 4.9060 1.0445
1.3875 1.0576 4.9190
1.3875 4.9190 6.6653
1.3875 2.8038 1.0576
1.3875 6.6653 2.8038
```

Magnetic moment: 0.00 μB/cell
Energy relative to the elements, uncorrected: 0.00 eV per atom
Space group: P4/mbm
Electronic total energy: -6.44 eV/atom

***

Crystalline Rb2SrTeIr at its relaxed geometry, computed with GGA-PBEsol.

POSCAR file:
```
Rb2SrTeIr
1.0
-1.1513 -5.7052 -0.3714
5.2325 -1.3913 5.1518
-5.1283 0.6838 5.3933
Te Rb Sr Ir
1 2 1 1
Cartesian
-0.5757 -2.8526 -0.1857
2.6162 -0.6957 2.5759
-2.5641 0.3419 2.6967
0.0000 0.0000 0.0000
-0.5236 -3.2063 5.0868
```

Magnetic moment: 2.53 μB/cell
Energy relative to the elements, uncorrected: 1.11 eV per atom
Space group: P4/mmm
Electronic total energy: -2.34 eV/atom

***

Crystalline Rb2YTcIr at its relaxed geometry, computed with GGA-PBEsol.

POSCAR file:
```
Rb2YTcIr
1.0
4.7917 0.0000 0.0000
0.0000 5.4262 0.0000
0.0000 0.0000 5.4262
Rb Ir Y Tc
2 1 1 1
Cartesian
0.0000 0.0000 2.7131
0.0000 2.7131 0.0000
2.3958 0.0000 0.0000
2.3958 2.7131 2.7131
0.0000 0.0000 0.0000
```

Magnetic moment: 0.00 μB/cell
Formation energy from the elements: 1.552 eV per atom
Space group: P4/mmm
Electronic total energy: -4.44 eV/atom

***

Crystalline RbZn3Ir at its relaxed geometry, computed with GGA-PBEsol.

POSCAR file:
```
RbZn3Ir
1.0
4.8688 0.0000 0.0000
0.0000 4.8688 0.0000
0.0000 0.0000 4.8688
Ir Zn Rb
1 3 1
Cartesian
0.0000 0.0000 0.0000
0.0000 0.0000 2.4344
2.4344 0.0000 0.0000
0.0000 2.4344 0.0000
2.4344 2.4344 2.4344
```

Magnetic moment: 0.00 μB/cell
Formation energy from the elements: -0.006 eV per atom
Space group: Pm-3m
Electronic total energy: -3.12 eV/atom